1.
DFT (PBE-GGA) results for a relaxed BTePN2 crystal.

a = 3.3279 Å, b = 3.3279 Å, c = 7.2748 Å
α = 90.00°, β = 90.00°, γ = 90.00°
Closest atoms and distances in Å follow each position.
Sites, in units of the cell vectors:
P: 0.0000 0.0000 0.0000  4 N 1.66
N: 0.5000 0.0000 0.0000  2 P 1.66
N: 0.0000 0.5000 0.0000  2 P 1.66
Te: 0.0000 0.0000 0.5000  4 B 2.35
B: 0.5000 0.5000 0.5000  4 Te 2.35

Calculated values
The formation energy (no corrections) comes out at 1.1859 eV per atom. Its electronic total energy is -5.190 eV/atom. The calculated density comes out at 4.07 g cm⁻³. For the spin magnetization, the calculation gives 0.37 μB/f.u.


2.
DFT (PBE-GGA) results for a relaxed CaSb crystal.

a = 8.7505 Å, b = 8.7504 Å, c = 6.3146 Å
α = 90.00°, β = 90.00°, γ = 120.00°
Closest atoms and distances in Å follow each position.
Sites, in units of the cell vectors:
Ca: 0.7363 0.0940 0.2500  5 Sb 3.09-3.28
Ca: 0.9060 0.6423 0.2500  5 Sb 3.09-3.28
Ca: 0.2637 0.9060 0.7500  5 Sb 3.09-3.28
Ca: 0.6423 0.7363 0.7500  5 Sb 3.09-3.28
Ca: 0.0940 0.3577 0.7500  5 Sb 3.09-3.28
Ca: 0.3577 0.2637 0.2500  5 Sb 3.09-3.28
Sb: 0.3134 0.8691 0.2500  5 Ca 3.09-3.28, 2 Sb 3.23
Sb: 0.1309 0.4443 0.2500  5 Ca 3.09-3.28, 2 Sb 3.23
Sb: 0.8691 0.5557 0.7500  5 Ca 3.09-3.28, 2 Sb 3.23
Sb: 0.5557 0.6866 0.2500  5 Ca 3.09-3.28, 2 Sb 3.23
Sb: 0.4443 0.3134 0.7500  5 Ca 3.09-3.28, 2 Sb 3.23
Sb: 0.6866 0.1309 0.7500  5 Ca 3.09-3.28, 2 Sb 3.23

Calculated values
The formation energy (no corrections) comes out at -0.5517 eV per atom. Its electronic total energy is -3.614 eV/atom. The calculated density comes out at 3.85 g cm⁻³. For the spin magnetization, the calculation gives 0.00 μB/f.u.